! MgCrPO5, relaxed, DFT GGA+U; values from VASP
&SYSTEM
  ibrav = 0, nat = 16, ntyp = 4
/
ATOMIC_SPECIES
O 16.00 O.upf
Cr 52.00 Cr.upf
P 30.97 P.upf
Mg 24.30 Mg.upf
ATOMIC_POSITIONS crystal
O 0.413 0.587 0.750
O 0.775 0.278 0.918
Cr 0.500 0.500 0.000
O 0.202 0.162 0.142
O 0.838 0.798 0.358
O 0.587 0.413 0.250
O 0.278 0.775 0.418
O 0.722 0.225 0.582
P 0.145 0.855 0.250
Mg 0.183 0.817 0.750
P 0.855 0.145 0.750
O 0.225 0.722 0.082
O 0.162 0.202 0.642
O 0.798 0.838 0.858
Mg 0.817 0.183 0.250
Cr 0.500 0.500 0.500
CELL_PARAMETERS angstrom
0.109 -5.468 -0.277
2.765 0.921 -4.636
6.666 -2.088 1.002
! SG	C2/c
! total magnetic moment	6.00	Bohr magnetons per cell
! VASP energy	-115.0	eV/cell